# TiGe6Mo5, optimized geometry, DFT PBE
data_TiGe6Mo5
_chemical_formula_sum 'Ti1 Ge6 Mo5'
_cell_length_a 4.512
_cell_length_b 6.220
_cell_length_c 6.999
_cell_angle_alpha 90.00
_cell_angle_beta 107.95
_cell_angle_gamma 90.00
_symmetry_space_group_name_H-M 'P 1 2/m 1'
_symmetry_Int_Tables_number 10
_symmetry_space_group_name_Hall '-P 2y'
loop_
_atom_site_label
_atom_site_type_symbol
_atom_site_fract_x
_atom_site_fract_y
_atom_site_fract_z
Ti1 Ti 0.000 0.000 0.000
Ge1 Ge 0.176 0.256 0.343
Ge2 Ge 0.500 0.257 0.000
Mo1 Mo 0.000 0.500 0.000
Mo2 Mo 0.291 0.000 0.682
Mo3 Mo 0.366 0.500 0.675
# ΔE_f = 0.34 kcal/mol of atoms
# calculated volume = 187 Å³ per cell


# PmThScPb, optimized geometry, DFT PBE
data_PmThScPb
_chemical_formula_sum 'Pm4 Th4 Sc4 Pb4'
_cell_length_a 7.665
_cell_length_b 7.665
_cell_length_c 7.665
_cell_angle_alpha 90.00
_cell_angle_beta 90.00
_cell_angle_gamma 90.00
_symmetry_space_group_name_H-M 'F -4 3 m'
_symmetry_Int_Tables_number 216
_symmetry_space_group_name_Hall 'F -4 2 3'
loop_
_atom_site_label
_atom_site_type_symbol
_atom_site_fract_x
_atom_site_fract_y
_atom_site_fract_z
Pm1 Pm 0.000 0.000 0.000
Th1 Th 0.250 0.250 0.250
Sc1 Sc 0.000 0.000 0.500
Pb1 Pb 0.250 0.250 0.750
# ΔE_f = -0.90 kcal/mol of atoms
# calculated volume = 450 Å³ per cell


# LaTeP2, optimized geometry, DFT PBE
data_LaTeP2
_chemical_formula_sum 'La2 Te2 P4'
_cell_length_a 4.387
_cell_length_b 4.387
_cell_length_c 9.601
_cell_angle_alpha 90.00
_cell_angle_beta 90.00
_cell_angle_gamma 90.00
_symmetry_space_group_name_H-M 'I 4/m m m'
_symmetry_Int_Tables_number 139
_symmetry_space_group_name_Hall '-I 4 2'
loop_
_atom_site_label
_atom_site_type_symbol
_atom_site_fract_x
_atom_site_fract_y
_atom_site_fract_z
La1 La 0.000 0.000 0.000
Te1 Te 0.000 0.000 0.500
P1 P 0.000 0.500 0.250
# calculated volume = 185 Å³ per cell
# ΔE_f (raw) = -353 meV/atom


# CuGeSeN2, optimized geometry, DFT PBE
data_CuGeSeN2
_chemical_formula_sum 'Cu1 Ge1 Se1 N2'
_cell_length_a 3.850
_cell_length_b 3.850
_cell_length_c 5.296
_cell_angle_alpha 90.00
_cell_angle_beta 90.00
_cell_angle_gamma 90.00
_symmetry_space_group_name_H-M 'P 4/m m m'
_symmetry_Int_Tables_number 123
_symmetry_space_group_name_Hall '-P 4 2'
loop_
_atom_site_label
_atom_site_type_symbol
_atom_site_fract_x
_atom_site_fract_y
_atom_site_fract_z
Cu1 Cu 0.000 0.000 0.000
Ge1 Ge 0.500 0.500 0.500
Se1 Se 0.000 0.000 0.500
N1 N 0.000 0.500 0.000
# calculated volume = 79 Å³ per cell
# ΔE_f (raw) = 1395 meV/atom
# energy above the lowest structure with this stoichiometry = 0.246 eV/atom


# Pm3BSe6, optimized geometry, DFT PBE
data_Pm3BSe6
_chemical_formula_sum 'Pm12 B4 Se24'
_cell_length_a 11.368
_cell_length_b 13.943
_cell_length_c 6.716
_cell_angle_alpha 90.00
_cell_angle_beta 90.00
_cell_angle_gamma 90.00
_symmetry_space_group_name_H-M 'C m c 21'
_symmetry_Int_Tables_number 36
_symmetry_space_group_name_Hall 'C 2c -2'
loop_
_atom_site_label
_atom_site_type_symbol
_atom_site_fract_x
_atom_site_fract_y
_atom_site_fract_z
Pm1 Pm 0.000 0.101 0.000
Pm2 Pm 0.181 0.400 0.105
B1 B 0.000 0.304 0.651
Se1 Se 0.000 0.290 0.341
Se2 Se 0.000 0.447 0.767
Se3 Se 0.150 0.245 0.786
Se4 Se 0.162 0.032 0.303
# calculated volume = 1065 Å³ per cell
# ΔE_f (raw) = -1401 meV/atom


# YPu3, optimized geometry, DFT PBE
data_YPu3
_chemical_formula_sum 'Y1 Pu3'
_cell_length_a 4.830
_cell_length_b 4.830
_cell_length_c 4.830
_cell_angle_alpha 90.00
_cell_angle_beta 90.00
_cell_angle_gamma 90.00
_symmetry_space_group_name_H-M 'P m -3 m'
_symmetry_Int_Tables_number 221
_symmetry_space_group_name_Hall '-P 4 2 3'
loop_
_atom_site_label
_atom_site_type_symbol
_atom_site_fract_x
_atom_site_fract_y
_atom_site_fract_z
Y1 Y 0.000 0.000 0.000
Pu1 Pu 0.000 0.500 0.500
# ΔE_f = 6.27 kcal/mol of atoms
# calculated volume = 113 Å³ per cell
# energy above the lowest structure with this stoichiometry = 0.000 eV/atom


# ZnCr2Rh, optimized geometry, DFT PBE
data_ZnCr2Rh
_chemical_formula_sum 'Zn1 Cr2 Rh1'
_cell_length_a 2.603
_cell_length_b 3.922
_cell_length_c 5.006
_cell_angle_alpha 90.00
_cell_angle_beta 90.15
_cell_angle_gamma 90.00
_symmetry_space_group_name_H-M 'P 1 2/m 1'
_symmetry_Int_Tables_number 10
_symmetry_space_group_name_Hall '-P 2y'
loop_
_atom_site_label
_atom_site_type_symbol
_atom_site_fract_x
_atom_site_fract_y
_atom_site_fract_z
Zn1 Zn 0.000 0.000 0.000
Cr1 Cr 0.499 0.500 0.761
Rh1 Rh 0.000 0.000 0.500
# ΔE_f = 1.69 kcal/mol of atoms
# calculated volume = 51 Å³ per cell


# Sc5NbGa6, optimized geometry, DFT PBE
data_Sc5NbGa6
_chemical_formula_sum 'Sc5 Nb1 Ga6'
_cell_length_a 4.972
_cell_length_b 6.121
_cell_length_c 7.883
_cell_angle_alpha 112.78
_cell_angle_beta 94.61
_cell_angle_gamma 90.06
_symmetry_space_group_name_H-M 'P -1'
_symmetry_Int_Tables_number 2
_symmetry_space_group_name_Hall '-P 1'
loop_
_atom_site_label
_atom_site_type_symbol
_atom_site_fract_x
_atom_site_fract_y
_atom_site_fract_z
Sc1 Sc 0.000 0.000 0.000
Sc2 Sc 0.315 0.829 0.659
Sc3 Sc 0.319 0.335 0.669
Nb1 Nb 0.000 0.500 0.000
Ga1 Ga 0.182 0.413 0.321
Ga2 Ga 0.182 0.908 0.321
Ga3 Ga 0.500 0.255 0.000
# ΔE_f = -11.93 kcal/mol of atoms
# calculated volume = 220 Å³ per cell